Entry 1:
Here is an optimized crystal structure of CsBiPb2Au from Alexandria via LeMat-Bulk. Energies are from GGA-PBE.

Values from the calculation:
The value obtained for the energy relative to the elements is -0.123 eV/atom. The space group is P4mm.

a = 5.478 Å, b = 5.478 Å, c = 7.548 Å
α = 90.00°, β = 90.00°, γ = 90.00°
Atoms (fractional coordinates):
Cs1 0.000 0.000 0.000
Bi1 0.500 0.500 0.210
Pb1 0.000 0.500 0.447
Pb2 0.500 0.000 0.447
Au1 0.000 0.000 0.538

=====

Entry 2:
Here is an optimized crystal structure of CsTePO2 from Alexandria via LeMat-Bulk. Energies are from GGA-PBE.

Values from the calculation:
The value obtained for the formation energy from raw total energies is 0.793 eV/atom. The space group is P4/mmm.

a = 4.206 Å, b = 4.206 Å, c = 7.689 Å
α = 90.00°, β = 90.00°, γ = 90.00°
Atoms (fractional coordinates):
Cs1 0.000 0.000 0.000
Te1 0.500 0.500 0.500
P1 0.000 0.000 0.500
O1 0.000 0.500 0.000
O2 0.500 0.000 0.000

=====

Entry 3:
Here is an optimized crystal structure of PuAlZn from Alexandria via LeMat-Bulk. Energies are from GGA-PBE.

Values from the calculation:
The value obtained for the energy relative to the elements is -0.119 eV/atom. The space group is I4mm.

a = 3.031 Å, b = 3.031 Å, c = 12.661 Å
α = 90.00°, β = 90.00°, γ = 90.00°
Atoms (fractional coordinates):
Pu1 0.000 0.000 0.000
Pu2 0.500 0.500 0.500
Al1 0.000 0.000 0.682
Al2 0.500 0.500 0.182
Zn1 0.000 0.000 0.321
Zn2 0.500 0.500 0.821

=====

Entry 4:
Here is an optimized crystal structure of NaPuAlO4 from Alexandria via LeMat-Bulk. Energies are from GGA-PBE.

Values from the calculation:
The value obtained for the formation energy from raw total energies is -2.604 eV/atom. The space group is Imma.

a = 6.415 Å, b = 6.415 Å, c = 6.415 Å
α = 124.64°, β = 114.45°, γ = 91.01°
Atoms (fractional coordinates):
Na1 0.390 0.140 0.250
Na2 0.610 0.860 0.750
Pu1 0.000 0.500 0.500
Pu2 0.500 0.500 0.000
Al1 0.000 0.000 0.500
Al2 0.000 0.500 0.000
O1 0.182 0.745 0.437
O2 0.193 0.255 0.937
O3 0.222 0.242 0.520
O4 0.222 0.702 0.980
O5 0.778 0.298 0.020
O6 0.778 0.758 0.480
O7 0.807 0.745 0.063
O8 0.818 0.255 0.563

=====

Total moment list, top to bottom, in μB per formula unit: 0.0; 0.6; 5.6; 4.0